[1]
A plane-wave DFT calculation with PBE was carried out for a geometry-optimized Cu2Ni structure.

a b c (Å): 4.521 4.521 7.212
angles (deg): 90.00 90.00 90.00
Positions (direct):
Cu 0.146 0.233 0.165
Cu 0.233 0.146 0.835
Cu 0.267 0.646 0.415
Cu 0.354 0.733 0.085
Cu 0.646 0.267 0.585
Cu 0.733 0.354 0.915
Cu 0.767 0.854 0.335
Cu 0.854 0.767 0.665
Ni 0.149 0.149 0.500
Ni 0.351 0.649 0.750
Ni 0.649 0.351 0.250
Ni 0.851 0.851 0.000

Symmetry: P4_12_12
Formation energy from the elements (eV/atom): 0.24
ρ (g cm⁻³): 8.37
Total DFT energy (no corrections) (eV per atom): -4.42
Magnetization (μB/atom): 0.00

[2]
A plane-wave DFT calculation with PBE was carried out for a geometry-optimized Cu2Ni structure.

a b c (Å): 6.978 6.978 2.478
angles (deg): 90.00 90.00 120.00
Positions (direct):
Cu 0.000 0.306 0.000
Cu 0.000 0.639 0.500
Cu 0.306 0.000 0.000
Cu 0.361 0.361 0.500
Cu 0.639 0.000 0.500
Cu 0.694 0.694 0.000
Ni 0.000 0.000 0.500
Ni 0.333 0.667 0.000
Ni 0.667 0.333 0.000

Symmetry: P-62m
Formation energy from the elements (eV/atom): 0.07
ρ (g cm⁻³): 8.86
Total DFT energy (no corrections) (eV per atom): -4.59
Magnetization (μB/atom): 0.00

[3]
A plane-wave DFT calculation with PBE was carried out for a geometry-optimized CuNi3 structure.

a b c (Å): 8.327 8.327 8.327
angles (deg): 17.28 17.28 17.28
Positions (direct):
Cu 0.000 0.000 0.000
Ni 0.249 0.249 0.249
Ni 0.500 0.500 0.500
Ni 0.751 0.751 0.751

Symmetry: R-3m
Formation energy from the elements (eV/atom): 0.02
ρ (g cm⁻³): 8.95
Total DFT energy (no corrections) (eV per atom): -5.34
Magnetization (μB/atom): 0.46

[4]
A plane-wave DFT calculation with PBE was carried out for a geometry-optimized NpCu2Ni9 structure.

a b c (Å): 8.202 8.202 8.202
angles (deg): 33.72 33.72 33.72
Positions (direct):
Np 0.000 0.000 0.000
Cu 0.148 0.148 0.148
Cu 0.852 0.852 0.852
Ni 0.082 0.589 0.589
Ni 0.334 0.334 0.334
Ni 0.411 0.411 0.918
Ni 0.411 0.918 0.411
Ni 0.500 0.500 0.500
Ni 0.589 0.082 0.589
Ni 0.589 0.589 0.082
Ni 0.666 0.666 0.666
Ni 0.918 0.411 0.411

Symmetry: R-3m
Formation energy from the elements (eV/atom): 0.02
ρ (g cm⁻³): 9.78
Total DFT energy (no corrections) (eV per atom): -6.07
Magnetization (μB/atom): 0.02